DFT (PBE+U) results for a geometry-optimized VPO5 structure.

Lattice parameters (Å, degrees): 5.1124 5.1124 7.4039 72.10 72.10 88.78
Last column: nearest neighbours and their distance in Å.
Sites, in units of the cell vectors:
P 0.1738 0.4077 0.2157  4 O 1.54-1.56
O 0.1243 0.1228 0.3771  1 P 1.54
O 0.9595 0.6542 0.6963  1 V 1.61
V 0.7694 0.2314 0.0046  1 O 1.61
P 0.4077 0.1738 0.7157  4 O 1.54-1.56
O 0.6416 0.1490 0.8081  1 P 1.54
O 0.6542 0.9595 0.1963  1 V 1.61
O 0.9543 0.4429 0.1078  1 P 1.54
O 0.4427 0.4643 0.5566  1 P 1.56
O 0.4429 0.9543 0.6078  1 P 1.54
O 0.4643 0.4427 0.0566  1 P 1.56
O 0.1490 0.6416 0.3081  1 P 1.54
V 0.2314 0.7694 0.5046  1 O 1.61
O 0.1228 0.1243 0.8771  1 P 1.54

**ρ**: 3.1 g/cm3
**N(E_F)**: 0.0 states/eV/cell
**E above lowest polymorph**: 2 meV/atom
**Total energy**: -7.38 eV per atom